The following is a DFT calculation (GGA-PBE) of a relaxed structure of TmTl2PdO6. Values from VASP.

Quantum ESPRESSO input file:
```
&SYSTEM
  ibrav = 0, nat = 10, ntyp = 4
/
ATOMIC_SPECIES
Tm 168.93 Tm.upf
O 16.00 O.upf
Tl 204.38 Tl.upf
Pd 106.42 Pd.upf
CELL_PARAMETERS angstrom
5.686 0.000 0.003
2.843 4.922 0.000
2.845 1.640 4.942
ATOMIC_POSITIONS crystal
Tm 0.811 0.811 0.566
O 0.186 0.972 0.262
O 0.972 0.580 0.262
O 0.437 0.677 0.784
O 0.102 0.437 0.784
O 0.677 0.101 0.784
Tl 0.545 0.546 0.363
O 0.581 0.186 0.262
Tl 0.030 0.031 0.908
Pd 0.320 0.320 0.040
```

Computed properties:
- SG: R3, No. 146
- E_tot: -0.2079 hartree per atom
- Fermi-level density of states: 0.42 states/eV/atom
- Raw formation energy: -1243 meV per atom



The following is a DFT calculation (GGA-PBE) of a relaxed structure of U3Tl2PdO12. Values from VASP.

Quantum ESPRESSO input file:
```
&SYSTEM
  ibrav = 0, nat = 18, ntyp = 4
/
ATOMIC_SPECIES
U 238.03 U.upf
O 16.00 O.upf
Tl 204.38 Tl.upf
Pd 106.42 Pd.upf
CELL_PARAMETERS angstrom
-3.119 0.776 -6.869
-6.910 -2.966 -0.984
-5.771 4.882 -0.614
ATOMIC_POSITIONS crystal
U 0.000 0.000 0.500
O 0.696 0.060 0.060
O 0.304 0.940 0.940
O 0.940 0.304 0.940
O 0.320 0.320 0.953
O 0.320 0.953 0.320
Tl 0.659 0.659 0.659
O 0.060 0.696 0.060
O 0.047 0.680 0.680
U 0.500 0.000 0.000
O 0.953 0.320 0.320
O 0.680 0.680 0.047
U 0.000 0.500 0.000
Pd 0.000 0.000 0.000
O 0.940 0.940 0.304
O 0.060 0.060 0.696
Tl 0.341 0.341 0.341
O 0.680 0.047 0.680
```

Computed properties:
- SG: R-3m, No. 166
- E_tot: -0.2928 hartree per atom
- Raw formation energy: -2229 meV per atom



The following is a DFT calculation (GGA-PBE) of a relaxed structure of UTl2PdO6. Values from VASP.

Quantum ESPRESSO input file:
```
&SYSTEM
  ibrav = 0, nat = 10, ntyp = 4
/
ATOMIC_SPECIES
O 16.00 O.upf
U 238.03 U.upf
Pd 106.42 Pd.upf
Tl 204.38 Tl.upf
CELL_PARAMETERS angstrom
-3.019 0.982 -4.863
4.419 -2.059 -3.159
-1.313 -5.301 -3.724
ATOMIC_POSITIONS crystal
O 0.186 0.186 0.628
O 0.814 0.814 0.372
O 0.263 0.737 0.000
O 0.263 0.263 0.000
O 0.737 0.263 0.000
U 0.000 0.000 0.000
Pd 0.500 0.500 0.000
Tl 0.750 0.250 0.500
O 0.737 0.737 0.000
Tl 0.250 0.750 0.500
```

Computed properties:
- SG: I4/mmm, No. 139
- E_tot: -0.2408 hartree per atom
- Fermi-level density of states: 0.50 states/eV/atom
- Raw formation energy: -1457 meV per atom



The following is a DFT calculation (GGA-PBE) of a relaxed structure of UTl2Pd2O6. Values from VASP.

Quantum ESPRESSO input file:
```
&SYSTEM
  ibrav = 0, nat = 11, ntyp = 4
/
ATOMIC_SPECIES
O 16.00 O.upf
Tl 204.38 Tl.upf
U 238.03 U.upf
Pd 106.42 Pd.upf
CELL_PARAMETERS angstrom
6.347 0.000 0.000
3.174 5.497 0.000
3.174 1.832 5.676
ATOMIC_POSITIONS crystal
O 0.225 0.771 0.778
O 0.229 0.775 0.222
Tl 0.779 0.779 0.664
Tl 0.221 0.221 0.336
U 0.000 0.000 0.000
O 0.775 0.775 0.222
O 0.771 0.225 0.778
O 0.225 0.225 0.778
Pd 0.591 0.591 0.226
Pd 0.409 0.409 0.774
O 0.775 0.229 0.222
```

Computed properties:
- SG: R-3m, No. 166
- E_tot: -0.2326 hartree per atom
- Fermi-level density of states: 0.99 states/eV/atom
- Raw formation energy: -1224 meV per atom



The following is a DFT calculation (GGA-PBE) of a relaxed structure of UTlPdO6. Values from VASP.

Quantum ESPRESSO input file:
```
&SYSTEM
  ibrav = 0, nat = 18, ntyp = 4
/
ATOMIC_SPECIES
O 16.00 O.upf
Tl 204.38 Tl.upf
Pd 106.42 Pd.upf
U 238.03 U.upf
CELL_PARAMETERS angstrom
-1.726 -4.618 -2.279
5.253 0.622 1.234
-1.716 -3.944 9.292
ATOMIC_POSITIONS crystal
O 0.644 0.996 0.860
Tl 0.000 0.000 0.000
O 0.644 0.648 0.640
O 0.356 0.004 0.140
Pd 0.333 0.667 0.750
O 0.004 0.356 0.640
O 0.356 0.352 0.360
U 0.667 0.333 0.750
Tl 0.000 0.000 0.500
O 0.004 0.648 0.860
Pd 0.667 0.333 0.250
O 0.648 0.644 0.140
O 0.648 0.004 0.360
U 0.333 0.667 0.250
O 0.996 0.352 0.140
O 0.352 0.996 0.640
O 0.996 0.644 0.360
O 0.352 0.356 0.860
```

Computed properties:
- SG: P-31c, No. 163
- E_tot: -0.2560 hartree per atom
- Fermi-level density of states: 0.47 states/eV/atom
- Raw formation energy: -1567 meV per atom